(1)
Entry from Alexandria: a relaxed structure of Pr3Cu2Pt3 (PBE).

Cell and atoms, written as POSCAR:
```
Pr3Cu2Pt3
1.0
2.161 -5.441 0.000
2.161 5.441 0.000
0.000 0.000 14.910
Pr Cu Pt
6 4 6
Direct
0.092 0.908 0.603
0.092 0.908 0.897
0.368 0.632 0.750
0.632 0.368 0.250
0.908 0.092 0.103
0.908 0.092 0.397
0.210 0.790 0.101
0.210 0.790 0.399
0.790 0.210 0.601
0.790 0.210 0.899
0.344 0.656 0.250
0.388 0.612 0.545
0.388 0.612 0.955
0.612 0.388 0.045
0.612 0.388 0.455
0.656 0.344 0.750
```

Summary:
**DFT formation energy**: -785 meV/atom
**M_tot**: 0.00 μB per formula unit
**Theoretical density**: 10.75 Mg/m³

---

(2)
Entry from Alexandria: a relaxed structure of Pr2Cu3Pt (PBE).

Cell and atoms, written as POSCAR:
```
Pr2Cu3Pt
1.0
0.000 4.339 7.532
3.823 0.000 7.532
3.823 4.339 0.000
Pr Cu Pt
4 6 2
Direct
0.247 0.753 0.753
0.250 0.250 0.250
0.750 0.750 0.750
0.753 0.247 0.247
0.175 0.662 0.338
0.337 0.337 0.663
0.338 0.825 0.175
0.662 0.175 0.825
0.663 0.663 0.337
0.825 0.338 0.662
0.166 0.166 0.834
0.834 0.834 0.166
```

Summary:
**DFT formation energy**: -466 meV/atom
**M_tot**: 0.00 μB per formula unit
**Distance to the lowest polymorph of the same formula**: 0.000 eV per formula unit
**Theoretical density**: 8.87 Mg/m³

---

(3)
Entry from Alexandria: a relaxed structure of PrCu4Pt (PBE).

Cell and atoms, written as POSCAR:
```
PrCu4Pt
1.0
0.000 3.593 3.593
3.593 0.000 3.593
3.593 3.593 0.000
Pr Cu Pt
1 4 1
Direct
0.000 0.000 0.000
0.376 0.376 0.376
0.376 0.376 0.871
0.376 0.871 0.376
0.871 0.376 0.376
0.750 0.750 0.750
```

Summary:
**DFT formation energy**: -318 meV/atom
**M_tot**: 0.00 μB per formula unit
**Theoretical density**: 10.56 Mg/m³